3
Lattice="0.000 3.386 3.386 3.386 0.000 3.386 3.386 3.386 0.000" Properties=species:S:1:pos:R:3 comment="NaTmSi PBE relaxed" final_energy_ev_per_atom=-3.91 volume_a3_per_atom=25.87 spacegroup=F-43m magmom_total_mub_per_fu=0.00 pbc="T T T"
Na 0.000 0.000 0.000
Tm 3.386 3.386 3.386
Si 1.693 1.693 1.693



3
Lattice="0.000 3.384 3.384 3.384 0.000 3.384 3.384 3.384 0.000" Properties=species:S:1:pos:R:3 comment="NaTmSi PBE relaxed" final_energy_ev_per_atom=-3.51 volume_a3_per_atom=25.82 spacegroup=F-43m magmom_total_mub_per_fu=0.00 pbc="T T T"
Na 0.000 0.000 0.000
Tm 1.692 1.692 1.692
Si 3.384 3.384 3.384



3
Lattice="0.000 3.060 3.060 3.060 0.000 3.060 3.060 3.060 0.000" Properties=species:S:1:pos:R:3 comment="NaSiW PBE relaxed" de_polymorph_mev_per_atom=0 final_energy_ev_per_atom=-5.55 volume_a3_per_atom=19.09 spacegroup=F-43m magmom_total_mub_per_fu=1.99 pbc="T T T"
Na 0.000 0.000 0.000
Si 1.530 1.530 1.530
W 3.060 3.060 3.060



9
Lattice="5.431 0.000 0.000 -2.716 4.704 0.000 0.000 0.000 6.357" Properties=species:S:1:pos:R:3 comment="NaSi5W3 PBE relaxed" final_energy_ev_per_atom=-7.32 volume_a3_per_atom=18.04 spacegroup=P6/mmm magmom_total_mub_per_fu=0.01 pbc="T T T"
Na 0.000 0.000 0.000
Si 0.000 0.000 3.178
Si 0.000 3.136 1.160
Si 0.000 3.136 5.196
Si 2.716 1.568 1.160
Si 2.716 1.568 5.196
W -1.358 2.352 3.178
W 2.716 0.000 3.178
W 1.358 2.352 3.178



3
Lattice="0.000 3.147 3.147 3.147 0.000 3.147 3.147 3.147 0.000" Properties=species:S:1:pos:R:3 comment="NaZnSi PBE relaxed" final_energy_ev_per_atom=-2.40 volume_a3_per_atom=20.77 spacegroup=F-43m pbc="T T T"
Na 0.000 0.000 0.000
Zn 3.147 3.147 3.147
Si 1.573 1.573 1.573



5
Lattice="-2.065 2.065 5.195 2.065 -2.065 5.195 2.065 2.065 -5.195" Properties=species:S:1:pos:R:3 comment="NaZn2Si2 PBE relaxed" de_polymorph_mev_per_atom=0 final_energy_ev_per_atom=-2.97 volume_a3_per_atom=17.72 spacegroup=I4/mmm pbc="T T T"
Na 0.000 0.000 0.000
Zn 2.065 0.000 2.597
Zn 0.000 2.065 2.597
Si 0.000 0.000 4.033
Si 0.000 0.000 6.356



9
Lattice="5.864 0.000 0.000 -2.932 5.078 0.000 0.000 0.000 6.653" Properties=species:S:1:pos:R:3 comment="NaZr3Si5 PBE relaxed" final_energy_ev_per_atom=-6.02 volume_a3_per_atom=22.01 spacegroup=P6/mmm magmom_total_mub_per_fu=0.02 pbc="T T T"
Na 0.000 0.000 0.000
Zr -1.466 2.539 3.327
Zr 2.932 0.000 3.327
Zr 1.466 2.539 3.327
Si 0.000 0.000 3.327
Si 0.000 3.385 1.139
Si 0.000 3.385 5.515
Si 2.932 1.693 1.139
Si 2.932 1.693 5.515



12
Lattice="6.415 0.000 0.000 -3.207 5.556 0.000 0.000 0.000 10.306" Properties=species:S:1:pos:R:3 comment="Na2Sm PBE relaxed" de_polymorph_mev_per_atom=3 final_energy_ev_per_atom=-2.14 volume_a3_per_atom=30.61 spacegroup=P6_3/mmc magmom_total_mub_per_fu=0.04 pbc="T T T"
Na 0.000 0.000 0.000
Na 0.000 0.000 5.153
Na 0.000 1.900 2.576
Na -1.562 4.606 2.576
Na 1.645 0.950 7.729
Na 1.562 4.606 2.576
Na 4.770 0.950 7.729
Na 3.207 3.656 7.729
Sm 0.000 3.704 5.797
Sm 0.000 3.704 9.662
Sm 3.207 1.852 0.644
Sm 3.207 1.852 4.509



Please write out number 3 again, unchanged.
3
Lattice="0.000 3.060 3.060 3.060 0.000 3.060 3.060 3.060 0.000" Properties=species:S:1:pos:R:3 comment="NaSiW PBE relaxed" de_polymorph_mev_per_atom=0 final_energy_ev_per_atom=-5.55 volume_a3_per_atom=19.09 spacegroup=F-43m magmom_total_mub_per_fu=1.99 pbc="T T T"
Na 0.000 0.000 0.000
Si 1.530 1.530 1.530
W 3.060 3.060 3.060



Please write out number 8 again, unchanged.
12
Lattice="6.415 0.000 0.000 -3.207 5.556 0.000 0.000 0.000 10.306" Properties=species:S:1:pos:R:3 comment="Na2Sm PBE relaxed" de_polymorph_mev_per_atom=3 final_energy_ev_per_atom=-2.14 volume_a3_per_atom=30.61 spacegroup=P6_3/mmc magmom_total_mub_per_fu=0.04 pbc="T T T"
Na 0.000 0.000 0.000
Na 0.000 0.000 5.153
Na 0.000 1.900 2.576
Na -1.562 4.606 2.576
Na 1.645 0.950 7.729
Na 1.562 4.606 2.576
Na 4.770 0.950 7.729
Na 3.207 3.656 7.729
Sm 0.000 3.704 5.797
Sm 0.000 3.704 9.662
Sm 3.207 1.852 0.644
Sm 3.207 1.852 4.509